Entry 1:
Below is crystalline Ba6Pt2Au3I at its relaxed geometry, with properties calculated at the PBE level.

Summary:
As for the formation energy (no corrections): -950 kJ/mol of formula units. The calculation puts the total energy at -3.74 eV per atom. The symmetry is C2/m. The calculation puts the density at 7.01 Mg/m³.

a b c (Å): 10.541 10.541 9.732
angles (deg): 101.52 101.52 25.62
Atoms (fractional coordinates):
Ba  0.013  0.013  0.278
Ba  0.321  0.321  0.887
Ba  0.329  0.329  0.428
Ba  0.671  0.671  0.572
Ba  0.679  0.679  0.113
Ba  0.987  0.987  0.722
Pt  0.169  0.169  0.334
Pt  0.831  0.831  0.666
Au  0.157  0.157  0.838
Au  0.500  0.500  0.500
Au  0.843  0.843  0.162
I  0.500  0.500  0.000

Entry 2:
Below is crystalline Ba2CuIrN at its relaxed geometry, with properties calculated at the PBE level.

Summary:
As for the formation energy (no corrections): -161 kJ/mol of formula units. The calculation puts the total energy at -5.36 eV per atom. The symmetry is P4/mmm. The calculation puts the density at 7.11 Mg/m³.

a b c (Å): 5.777 5.777 3.807
angles (deg): 90.00 90.00 90.00
Atoms (fractional coordinates):
Ba  0.000  0.500  0.000
Ba  0.500  0.000  0.000
Cu  0.000  0.000  0.500
Ir  0.500  0.500  0.500
N  0.500  0.500  0.000

Entry 3:
Below is crystalline InAu4I at its relaxed geometry, with properties calculated at the PBE level.

Summary:
As for the formation energy (no corrections): 23 kJ/mol of formula units. The calculation puts the total energy at -2.86 eV per atom. The symmetry is F-43m. The calculation puts the density at 12.69 Mg/m³.

a b c (Å): 5.755 5.755 5.755
angles (deg): 60.00 60.00 60.00
Atoms (fractional coordinates):
In  0.000  0.000  0.000
Au  0.375  0.375  0.375
Au  0.375  0.375  0.876
Au  0.375  0.876  0.375
Au  0.876  0.375  0.375
I  0.750  0.750  0.750

Entry 4:
Below is crystalline ZrNbReAg2 at its relaxed geometry, with properties calculated at the PBE level.

Summary:
The calculation puts the formation energy at 2.055 eV per atom. The calculation puts the total energy at -5.30 eV per atom. The symmetry is P4/mmm. The calculation puts the density at 7.74 Mg/m³.

a b c (Å): 5.046 5.046 4.936
angles (deg): 90.00 90.00 90.00
Atoms (fractional coordinates):
Zr  0.000  0.000  0.000
Nb  0.000  0.000  0.500
Re  0.500  0.500  0.000
Ag  0.000  0.500  0.500
Ag  0.500  0.000  0.500

Entry 5:
Below is crystalline VRh3S at its relaxed geometry, with properties calculated at the PBE level.

Summary:
As for the formation energy (no corrections): 487 kJ/mol of formula units. The value obtained for the distance to the lowest polymorph of the same formula is 3.71 eV per formula unit. The calculation puts the total energy at -6.05 eV per atom. The symmetry is Pm-3m. The calculation puts the density at 7.16 Mg/m³.

a b c (Å): 4.495 4.495 4.495
angles (deg): 90.00 90.00 90.00
Atoms (fractional coordinates):
V  0.000  0.000  0.000
Rh  0.000  0.000  0.500
Rh  0.000  0.500  0.000
Rh  0.500  0.000  0.000
S  0.500  0.500  0.500

Entry 6:
Below is crystalline CeGaCuPt3 at its relaxed geometry, with properties calculated at the PBE level.

Summary:
The calculation puts the formation energy at -0.601 eV per atom. The calculation puts the total energy at -5.80 eV per atom. The symmetry is Cmcm. The calculation puts the density at 13.36 Mg/m³.

a b c (Å): 7.088 7.088 5.822
angles (deg): 90.00 90.00 133.14
Atoms (fractional coordinates):
Ce  0.178  0.822  0.750
Ce  0.822  0.178  0.250
Ga  0.124  0.876  0.250
Ga  0.876  0.124  0.750
Cu  0.379  0.621  0.750
Cu  0.621  0.379  0.250
Pt  0.253  0.253  0.000
Pt  0.253  0.253  0.500
Pt  0.319  0.681  0.250
Pt  0.681  0.319  0.750
Pt  0.747  0.747  0.000
Pt  0.747  0.747  0.500

Entry 7:
Below is crystalline La2CdCoN at its relaxed geometry, with properties calculated at the PBE level.

Summary:
As for the formation energy (no corrections): -270 kJ/mol of formula units. The calculation puts the total energy at -5.80 eV per atom. The symmetry is P4/mmm. The calculation puts the density at 7.18 Mg/m³.

a b c (Å): 5.414 5.414 3.653
angles (deg): 90.00 90.00 90.00
Atoms (fractional coordinates):
La  0.000  0.500  0.000
La  0.500  0.000  0.000
Cd  0.000  0.000  0.500
Co  0.500  0.500  0.500
N  0.500  0.500  0.000

Entry 8:
Below is crystalline La2YAs at its relaxed geometry, with properties calculated at the PBE level.

Summary:
The calculation puts the formation energy at -0.599 eV per atom. The calculation puts the total energy at -5.84 eV per atom. The symmetry is R3m. The calculation puts the density at 5.30 Mg/m³.

a b c (Å): 9.973 9.973 9.973
angles (deg): 23.48 23.48 23.48
Atoms (fractional coordinates):
La  0.000  0.000  0.000
La  0.207  0.207  0.207
Y  0.436  0.436  0.436
As  0.603  0.603  0.603

Entry 9:
Below is crystalline Mo4Pt2N at its relaxed geometry, with properties calculated at the PBE level.

Summary:
As for the formation energy (no corrections): -106 kJ/mol of formula units. The value obtained for the distance to the lowest polymorph of the same formula is 0.00 eV per formula unit. The calculation puts the total energy at -9.26 eV per atom. The symmetry is Fd-3m. The calculation puts the density at 12.98 Mg/m³.

a b c (Å): 8.293 8.293 8.293
angles (deg): 60.00 60.00 60.00
Atoms (fractional coordinates):
Mo  0.000  0.000  0.000
Mo  0.000  0.000  0.500
Mo  0.000  0.500  0.000
Mo  0.180  0.180  0.570
Mo  0.180  0.570  0.180
Mo  0.180  0.570  0.570
Mo  0.430  0.430  0.820
Mo  0.430  0.820  0.430
Mo  0.430  0.820  0.820
Mo  0.500  0.000  0.000
Mo  0.570  0.180  0.180
Mo  0.570  0.180  0.570
Mo  0.570  0.570  0.180
Mo  0.820  0.430  0.430
Mo  0.820  0.430  0.820
Mo  0.820  0.820  0.430
Pt  0.143  0.786  0.786
Pt  0.214  0.214  0.214
Pt  0.214  0.214  0.857
Pt  0.214  0.857  0.214
Pt  0.786  0.143  0.786
Pt  0.786  0.786  0.143
Pt  0.786  0.786  0.786
Pt  0.857  0.214  0.214
N  0.000  0.500  0.500
N  0.500  0.000  0.500
N  0.500  0.500  0.000
N  0.500  0.500  0.500

Entry 10:
Below is crystalline ZnCdInBi at its relaxed geometry, with properties calculated at the PBE level.

Summary:
The calculation puts the formation energy at 0.109 eV per atom. The calculation puts the total energy at -2.09 eV per atom. The symmetry is F-43m. The calculation puts the density at 8.14 Mg/m³.

a b c (Å): 5.250 5.250 5.250
angles (deg): 60.00 60.00 60.00
Atoms (fractional coordinates):
Zn  0.000  0.000  0.000
Cd  0.500  0.500  0.500
In  0.250  0.250  0.250
Bi  0.750  0.750  0.750

Entry 11:
Below is crystalline Tb2BeCo5B2 at its relaxed geometry, with properties calculated at the PBE level.

Summary:
The calculation puts the formation energy at -0.231 eV per atom. The calculation puts the total energy at -6.42 eV per atom. The symmetry is P4/mbm. The calculation puts the density at 8.91 Mg/m³.

a b c (Å): 8.938 8.938 3.001
angles (deg): 90.00 90.00 90.00
Atoms (fractional coordinates):
Tb  0.178  0.322  0.000
Tb  0.322  0.822  0.000
Tb  0.678  0.178  0.000
Tb  0.822  0.678  0.000
Be  0.000  0.000  0.000
Be  0.500  0.500  0.000
Co  0.000  0.500  0.500
Co  0.067  0.779  0.500
Co  0.221  0.067  0.500
Co  0.279  0.567  0.500
Co  0.433  0.279  0.500
Co  0.500  0.000  0.500
Co  0.567  0.721  0.500
Co  0.721  0.433  0.500
Co  0.779  0.933  0.500
Co  0.933  0.221  0.500
B  0.120  0.620  0.000
B  0.380  0.120  0.000
B  0.620  0.880  0.000
B  0.880  0.380  0.000

Entry 12:
Below is crystalline CuSbOsF at its relaxed geometry, with properties calculated at the PBE level.

Summary:
As for the formation energy (no corrections): -7 kJ/mol of formula units. The value obtained for the distance to the lowest polymorph of the same formula is 0.77 eV per formula unit. The calculation puts the total energy at -5.35 eV per atom. The symmetry is Cm. The calculation puts the density at 9.47 Mg/m³.

a b c (Å): 6.348 6.348 2.987
angles (deg): 90.97 90.97 35.07
Atoms (fractional coordinates):
Cu  0.000  0.000  0.000
Sb  0.776  0.776  0.023
Os  0.181  0.181  0.515
F  0.485  0.485  0.991

The highest density belongs to which entry? CeGaCuPt3